A plane-wave DFT calculation with PBE-GGA was carried out for LiLaEr2 after structural relaxation.

abc: 3.680 3.680 8.661
angles: 90.00 90.00 90.00
Sites, in units of the cell vectors:
Er  0.000  0.000  0.788
Er  0.000  0.000  0.212
Li  0.500  0.500  0.000
La  0.500  0.500  0.500

Results
ΔH_f (0 K) = 92 meV per atom
Polymorph energy (0 for the lowest one) = 0.000 eV per atom

A plane-wave DFT calculation with PBE-GGA was carried out for LiLaEr2 after structural relaxation.

abc: 3.511 3.511 11.548
angles: 81.26 81.26 60.00
Sites, in units of the cell vectors:
Li  0.666  0.666  0.001
La  0.500  0.500  0.500
Er  0.255  0.255  0.234
Er  0.078  0.078  0.765

Results
ΔH_f (0 K) = 145 meV per atom
Polymorph energy (0 for the lowest one) = 0.053 eV per atom

A plane-wave DFT calculation with PBE-GGA was carried out for LiLaErLu after structural relaxation.

abc: 5.523 5.523 5.523
angles: 60.00 60.00 60.00
Sites, in units of the cell vectors:
Li  0.000  0.000  0.000
Er  0.750  0.750  0.750
Lu  0.500  0.500  0.500
La  0.250  0.250  0.250

Results
ΔH_f (0 K) = 156 meV per atom

A plane-wave DFT calculation with PBE-GGA was carried out for LiLaErMg after structural relaxation.

abc: 5.432 5.432 5.432
angles: 60.00 60.00 60.00
Sites, in units of the cell vectors:
Li  0.500  0.500  0.500
La  0.750  0.750  0.750
Er  0.250  0.250  0.250
Mg  0.000  0.000  0.000

Results
ΔH_f (0 K) = 34 meV per atom

A plane-wave DFT calculation with PBE-GGA was carried out for LiLaErPt after structural relaxation.

abc: 5.099 5.099 5.099
angles: 60.00 60.00 60.00
Sites, in units of the cell vectors:
Pt  0.000  0.000  0.000
Er  0.250  0.250  0.250
La  0.750  0.750  0.750
Li  0.500  0.500  0.500

Results
ΔH_f (0 K) = -583 meV per atom

A plane-wave DFT calculation with PBE-GGA was carried out for LiLaErRh after structural relaxation.

abc: 5.045 5.045 5.045
angles: 60.00 60.00 60.00
Sites, in units of the cell vectors:
Er  0.750  0.750  0.750
Li  0.000  0.000  0.000
La  0.250  0.250  0.250
Rh  0.500  0.500  0.500

Results
ΔH_f (0 K) = -405 meV per atom

A plane-wave DFT calculation with PBE-GGA was carried out for LiLa3Er3S8 after structural relaxation.

abc: 7.899 7.899 8.023
angles: 119.48 90.00 120.00
Sites, in units of the cell vectors:
S  0.743  0.986  0.729
S  0.243  0.986  0.729
S  0.743  0.485  0.728
S  0.257  0.014  0.271
S  0.257  0.515  0.272
S  0.244  0.487  0.730
S  0.756  0.513  0.270
S  0.757  0.014  0.271
Li  0.000  0.000  0.500
La  0.500  0.500  0.000
La  0.000  0.500  0.000
La  0.000  0.000  0.000
Er  0.500  0.500  0.500
Er  0.000  0.500  0.500
Er  0.500  0.000  0.500

Results
Uncorrected formation energy = -30.40 eV/f.u.

A plane-wave DFT calculation with PBE-GGA was carried out for LiLaEr2S4 after structural relaxation.

abc: 3.921 6.785 6.916
angles: 109.12 90.00 90.00
Sites, in units of the cell vectors:
La  0.000  0.000  0.000
Li  0.500  0.500  0.000
S  0.500  0.735  0.736
S  0.000  0.254  0.740
S  0.000  0.746  0.260
S  0.500  0.265  0.264
Er  0.000  0.500  0.500
Er  0.500  0.000  0.500

Results
Uncorrected formation energy = -15.55 eV/f.u.

A plane-wave DFT calculation with PBE-GGA was carried out for Li2LaErS4 after structural relaxation.

abc: 4.016 6.975 6.602
angles: 110.68 90.00 90.00
Sites, in units of the cell vectors:
S  0.500  0.734  0.745
S  0.500  0.266  0.255
S  0.000  0.738  0.251
S  0.000  0.262  0.749
Li  0.000  0.500  0.500
Li  0.500  0.000  0.500
Er  0.500  0.500  0.000
La  0.000  0.000  0.000

Results
Uncorrected formation energy = -14.65 eV/f.u.

A plane-wave DFT calculation with PBE-GGA was carried out for LiLa2ErS4 after structural relaxation.

abc: 4.019 6.944 6.915
angles: 109.57 90.00 90.00
Sites, in units of the cell vectors:
S  0.500  0.756  0.773
S  0.000  0.256  0.771
S  0.500  0.244  0.227
S  0.000  0.744  0.229
La  0.000  0.500  0.500
La  0.500  0.000  0.500
Li  0.500  0.500  0.000
Er  0.000  0.000  0.000

Results
Uncorrected formation energy = -15.68 eV/f.u.

A plane-wave DFT calculation with PBE-GGA was carried out for LiLaErS3 after structural relaxation.

abc: 3.891 8.146 8.530
angles: 103.61 90.00 90.00
Sites, in units of the cell vectors:
S  0.750  0.436  0.170
S  0.750  0.897  0.135
S  0.750  0.215  0.506
S  0.250  0.564  0.830
S  0.250  0.785  0.494
S  0.250  0.103  0.865
La  0.750  0.811  0.775
La  0.250  0.189  0.225
Er  0.250  0.666  0.162
Er  0.750  0.334  0.838
Li  0.750  0.912  0.415
Li  0.250  0.088  0.585

Results
Uncorrected formation energy = -11.32 eV/f.u.

A plane-wave DFT calculation with PBE-GGA was carried out for LiLa4Er3Se8 after structural relaxation.

abc: 8.295 8.382 8.296
angles: 119.66 120.00 90.00
Sites, in units of the cell vectors:
Se  0.254  0.275  0.015
Se  0.240  0.725  0.479
Se  0.257  0.272  0.514
Se  0.746  0.725  0.985
Se  0.760  0.275  0.521
Se  0.240  0.725  0.985
Se  0.743  0.728  0.486
Se  0.760  0.275  0.015
Er  0.500  0.500  0.500
Er  0.000  0.500  0.500
Er  0.500  0.500  0.000
La  0.500  0.000  0.500
La  0.500  0.000  0.000
La  0.000  0.000  0.000
La  0.000  0.000  0.500
Li  0.000  0.500  0.000

Results
Uncorrected formation energy = -29.34 eV/f.u.